This record from Alexandria describes a relaxed structure of CeMg3Ga2. The functional is PBE-GGA.

Lattice parameters (Å, degrees): 8.5938 8.5938 8.5938 149.62 120.80 67.99
Element x y z (fractional)
1 Ce 0.1301 0.1301 0.0000
2 Ce 0.8699 0.8699 0.0000
3 Mg 0.1416 0.3338 0.8078
4 Mg 0.3336 0.0000 0.3336
5 Mg 0.4741 0.6662 0.8078
6 Mg 0.5259 0.3338 0.1922
7 Mg 0.6664 0.0000 0.6664
8 Mg 0.8584 0.6662 0.1922
9 Ga 0.1483 0.5000 0.6483
10 Ga 0.2932 0.7932 0.5000
11 Ga 0.7068 0.2068 0.5000
12 Ga 0.8517 0.5000 0.3517

Computed properties:
Magnetic moment: 1.91 μB per cell
Crystal system: orthorhombic
Energy of formation: -150 kJ/mol of formula units
Calculated volume: 272 Å³ per cell
Offset from the most stable computed form: 22 meV per atom
VASP energy: -3.055 eV/atom
N(E_F): 1.220 states/eV per atom

***

This record from Alexandria describes a relaxed structure of Gd2TiIn. The functional is PBE-GGA.

Lattice parameters (Å, degrees): 3.3398 3.3398 9.2204 90.00 90.00 90.00
Element x y z (fractional)
1 Gd 0.0000 0.0000 0.2411
2 Gd 0.0000 0.0000 0.7589
3 Ti 0.5000 0.5000 0.0000
4 In 0.5000 0.5000 0.5000

Computed properties:
Magnetic moment: 14.10 μB per cell
Crystal system: tetragonal
Energy of formation: -30 kJ/mol of formula units
Calculated volume: 103 Å³ per cell
Offset from the most stable computed form: 29 meV per atom
VASP energy: -9.776 eV/atom
N(E_F): 1.182 states/eV per atom

***

This record from Alexandria describes a relaxed structure of CuHg6Pd12. The functional is PBE-GGA.

Lattice parameters (Å, degrees): 7.1476 7.1476 7.1476 84.91 84.91 84.91
Element x y z (fractional)
1 Cu 0.0000 0.0000 0.0000
2 Hg 0.1697 0.6446 0.2443
3 Hg 0.2443 0.1697 0.6446
4 Hg 0.3554 0.7557 0.8303
5 Hg 0.6446 0.2443 0.1697
6 Hg 0.7557 0.8303 0.3554
7 Hg 0.8303 0.3554 0.7557
8 Pd 0.0239 0.1028 0.3381
9 Pd 0.1028 0.3381 0.0239
10 Pd 0.1413 0.5473 0.6380
11 Pd 0.3381 0.0239 0.1028
12 Pd 0.3620 0.8587 0.4527
13 Pd 0.4527 0.3620 0.8587
14 Pd 0.5473 0.6380 0.1413
15 Pd 0.6380 0.1413 0.5473
16 Pd 0.6619 0.9761 0.8972
17 Pd 0.8587 0.4527 0.3620
18 Pd 0.8972 0.6619 0.9761
19 Pd 0.9761 0.8972 0.6619

Computed properties:
Magnetic moment: 0.00 μB per cell
Crystal system: trigonal
Energy of formation: 83 kJ/mol of formula units
Calculated volume: 361 Å³ per cell
VASP energy: -3.545 eV/atom
N(E_F): 0.563 states/eV per atom

***

This record from Alexandria describes a relaxed structure of KRb2Au2. The functional is PBE-GGA.

Lattice parameters (Å, degrees): 9.8537 9.8537 4.0412 90.00 90.00 90.00
Element x y z (fractional)
1 K 0.0000 0.0000 0.0000
2 K 0.5000 0.5000 0.0000
3 Rb 0.1312 0.3688 0.0000
4 Rb 0.3688 0.8688 0.0000
5 Rb 0.6312 0.1312 0.0000
6 Rb 0.8688 0.6312 0.0000
7 Au 0.1678 0.6678 0.5000
8 Au 0.3322 0.1678 0.5000
9 Au 0.6678 0.8322 0.5000
10 Au 0.8322 0.3322 0.5000

Computed properties:
Magnetic moment: 0.00 μB per cell
Crystal system: tetragonal
Energy of formation: -90 kJ/mol of formula units
Calculated volume: 392 Å³ per cell
Offset from the most stable computed form: 72 meV per atom
VASP energy: -2.103 eV/atom
N(E_F): 0.294 states/eV per atom

***

This record from Alexandria describes a relaxed structure of Zr2ScW. The functional is PBE-GGA.

Lattice parameters (Å, degrees): 6.1945 6.1945 6.1945 103.30 103.30 122.68
Element x y z (fractional)
1 Zr 0.1007 0.6250 0.9757
2 Zr 0.3750 0.3507 0.4757
3 Zr 0.6493 0.1250 0.0243
4 Zr 0.8750 0.8993 0.5243
5 Sc 0.2500 0.7500 0.5000
6 Sc 0.5000 0.5000 0.0000
7 W 0.0000 0.0000 0.0000
8 W 0.7500 0.2500 0.5000

Computed properties:
Magnetic moment: 0.00 μB per cell
Crystal system: tetragonal
Energy of formation: 234 kJ/mol of formula units
Calculated volume: 176 Å³ per cell
Offset from the most stable computed form: 476 meV per atom
VASP energy: -8.490 eV/atom
N(E_F): 1.179 states/eV per atom

***

This record from Alexandria describes a relaxed structure of TmCo2Ni4. The functional is PBE-GGA.

Lattice parameters (Å, degrees): 4.9504 4.9504 4.7180 118.34 118.34 76.90
Element x y z (fractional)
1 Tm 0.0000 0.0000 0.0000
2 Co 0.4999 0.4999 0.2497
3 Co 0.5001 0.5001 0.7503
4 Ni 0.9998 0.3896 0.6947
5 Ni 0.0002 0.6104 0.3053
6 Ni 0.3896 0.9998 0.6947
7 Ni 0.6104 0.0002 0.3053

Computed properties:
Magnetic moment: 4.41 μB per cell
Crystal system: monoclinic
Energy of formation: -130 kJ/mol of formula units
Calculated volume: 90 Å³ per cell
VASP energy: -6.165 eV/atom
N(E_F): 1.496 states/eV per atom